# 1
DFT (PBE) results for Rb2SiRuF6 after structural relaxation.

a = 6.0735 Å, b = 6.0735 Å, c = 6.0735 Å
α = 60.00°, β = 60.00°, γ = 60.00°
Last column: nearest neighbours and their distance in Å.
Element x y z (fractional)
Rb (0.2500, 0.2500, 0.2500)  12 F 3.04
Rb (0.7500, 0.7500, 0.7500)  12 F 3.04
Si (0.0000, 0.0000, 0.0000)  6 F 2.13
Ru (0.5000, 0.5000, 0.5000)  6 F 2.17
F (0.2477, 0.2477, 0.7523)  1 Si 2.13, 1 Ru 2.17
F (0.2477, 0.7523, 0.2477)  1 Si 2.13, 1 Ru 2.17
F (0.2477, 0.7523, 0.7523)  1 Si 2.13, 1 Ru 2.17
F (0.7523, 0.2477, 0.2477)  1 Si 2.13, 1 Ru 2.17
F (0.7523, 0.2477, 0.7523)  1 Si 2.13, 1 Ru 2.17
F (0.7523, 0.7523, 0.2477)  1 Si 2.13, 1 Ru 2.17

## Properties
- E_tot: -4.7620 eV/atom
- Total magnetization: 0.00 μB per formula unit
- E_form (uncorrected): -1976 meV per atom

***

# 2
DFT (PBE) results for Rb2SnRuF6 after structural relaxation.

a = 6.3043 Å, b = 6.3043 Å, c = 6.3043 Å
α = 60.00°, β = 60.00°, γ = 60.00°
Last column: nearest neighbours and their distance in Å.
Element x y z (fractional)
Rb (0.2500, 0.2500, 0.2500)  12 F 3.15
Rb (0.7500, 0.7500, 0.7500)  12 F 3.15
Sn (0.0000, 0.0000, 0.0000)  6 F 2.33
Ru (0.5000, 0.5000, 0.5000)  6 F 2.12
F (0.2618, 0.2618, 0.7382)  1 Ru 2.12, 1 Sn 2.33
F (0.2618, 0.7382, 0.2618)  1 Ru 2.12, 1 Sn 2.33
F (0.2618, 0.7382, 0.7382)  1 Ru 2.12, 1 Sn 2.33
F (0.7382, 0.2618, 0.2618)  1 Ru 2.12, 1 Sn 2.33
F (0.7382, 0.2618, 0.7382)  1 Ru 2.12, 1 Sn 2.33
F (0.7382, 0.7382, 0.2618)  1 Ru 2.12, 1 Sn 2.33

## Properties
- E_tot: -4.7322 eV/atom
- Total magnetization: 0.00 μB per formula unit
- E_form (uncorrected): -2088 meV per atom

***

# 3
DFT (PBE) results for RbTlRuF6 after structural relaxation.

a = 6.4974 Å, b = 6.4974 Å, c = 5.2669 Å
α = 90.02°, β = 90.02°, γ = 120.13°
Last column: nearest neighbours and their distance in Å.
Element x y z (fractional)
Rb (0.0000, 0.0000, 0.0000)  6 F 2.90
Tl (0.6665, 0.3335, 0.5000)  6 F 2.73
Ru (0.3334, 0.6666, 0.5000)  6 F 1.96
F (0.0846, 0.4137, 0.2912)  1 Ru 1.96
F (0.0863, 0.6707, 0.7103)  1 Ru 1.96
F (0.3293, 0.9137, 0.2897)  1 Ru 1.96
F (0.3300, 0.4157, 0.7104)  1 Ru 1.96
F (0.5843, 0.6700, 0.2896)  1 Ru 1.96
F (0.5863, 0.9154, 0.7088)  1 Ru 1.96

## Properties
- E_tot: -4.7123 eV/atom
- Total magnetization: 2.00 μB per formula unit
- E_form (uncorrected): -2064 meV per atom

***

# 4
DFT (PBE) results for Rb2TlRuF6 after structural relaxation.

a = 6.2486 Å, b = 9.2380 Å, c = 7.0741 Å
α = 90.00°, β = 90.00°, γ = 90.00°
Last column: nearest neighbours and their distance in Å.
Element x y z (fractional)
Rb (0.2500, 0.0246, 0.2012)  7 F 2.89-3.12
Rb (0.2500, 0.4754, 0.2012)  7 F 2.89-3.12
Rb (0.7500, 0.5246, 0.7988)  7 F 2.89-3.12
Rb (0.7500, 0.9754, 0.7988)  7 F 2.89-3.12
Tl (0.2500, 0.2500, 0.6993)  6 F 2.68-2.72
Tl (0.7500, 0.7500, 0.3007)  6 F 2.68-2.72
Ru (0.2500, 0.7500, 0.7953)  6 F 2.02-2.04
Ru (0.7500, 0.2500, 0.2047)  6 F 2.02-2.04
F (0.0166, 0.7500, 0.5968)  1 Ru 2.02
F (0.0215, 0.7500, 0.0009)  1 Ru 2.04
F (0.2500, 0.5294, 0.7992)  1 Ru 2.04
F (0.2500, 0.9706, 0.7992)  1 Ru 2.04
F (0.4785, 0.7500, 0.0009)  1 Ru 2.04
F (0.4834, 0.7500, 0.5968)  1 Ru 2.02
F (0.5166, 0.2500, 0.4032)  1 Ru 2.02
F (0.5215, 0.2500, 0.9991)  1 Ru 2.04
F (0.7500, 0.0294, 0.2008)  1 Ru 2.04
F (0.7500, 0.4706, 0.2008)  1 Ru 2.04
F (0.9785, 0.2500, 0.9991)  1 Ru 2.04
F (0.9834, 0.2500, 0.4032)  1 Ru 2.02

## Properties
- E_tot: -4.6177 eV/atom
- Total magnetization: 1.00 μB per formula unit
- E_form (uncorrected): -2137 meV per atom

***

# 5
DFT (PBE) results for Rb2TlRuF6 after structural relaxation.

a = 6.5772 Å, b = 6.5772 Å, c = 6.5772 Å
α = 60.00°, β = 60.00°, γ = 60.00°
Last column: nearest neighbours and their distance in Å.
Element x y z (fractional)
Rb (0.2500, 0.2500, 0.2500)  12 F 3.30
Rb (0.7500, 0.7500, 0.7500)  12 F 3.30
Tl (0.0000, 0.0000, 0.0000)  6 F 2.62
Ru (0.5000, 0.5000, 0.5000)  6 F 2.03
F (0.2818, 0.2818, 0.7182)  1 Ru 2.03
F (0.2818, 0.7182, 0.2818)  1 Ru 2.03
F (0.2818, 0.7182, 0.7182)  1 Ru 2.03
F (0.7182, 0.2818, 0.2818)  1 Ru 2.03
F (0.7182, 0.2818, 0.7182)  1 Ru 2.03
F (0.7182, 0.7182, 0.2818)  1 Ru 2.03

## Properties
- E_tot: -4.6112 eV/atom
- Total magnetization: 1.00 μB per formula unit
- E_form (uncorrected): -2131 meV per atom